(1)
Ti4V2Ge, relaxed, DFT PBE; ΔE_f = 0.692 eV/atom; total energy = -7.084 eV/atom
1.0
4.746 0.000 0.000
0.000 4.746 0.000
0.000 0.000 11.806
Ti V Ge
8 4 2
Cartesian
0.000 0.000 2.453
0.000 0.000 9.353
0.000 2.373 0.000
0.000 2.373 5.903
2.373 0.000 0.000
2.373 0.000 5.903
2.373 2.373 3.450
2.373 2.373 8.356
0.000 0.000 4.718
0.000 0.000 7.089
2.373 2.373 1.186
2.373 2.373 10.621
0.000 0.000 0.000
2.373 2.373 5.903



(2)
SiSbW, relaxed, DFT PBE; uncorrected formation energy = 0.9 eV/f.u.; offset from the most stable computed form = 0.0 kJ/mol of formula units; total energy = -7.199 eV/atom
1.0
3.375 0.000 0.000
0.000 3.375 0.000
0.000 0.000 9.198
Si Sb W
2 2 2
Cartesian
0.000 0.000 0.000
1.688 1.688 4.599
0.000 0.000 6.378
1.688 1.688 1.778
0.000 0.000 3.516
1.688 1.688 8.115